1 | The following is a DFT calculation (GGA-PBE) of a relaxed ThAl4Ag crystal.

Unit cell a=10.1532 b=7.0168 c=7.2241 alpha=90.00 beta=110.13 gamma=90.00
Closest atoms and distances in Å follow each position.
Space group C2/m (No. 12)
One atom of each set of equivalent atoms:
1 Th 0.1632 0.0000 0.2783 x4  10 Al 3.17-3.45, 1 Ag 3.18
2 Al 0.0000 0.2820 0.5000 x4  2 Ag 2.62, 2 Al 2.77
3 Al 0.1142 0.3048 0.9375 x8  6 Al 2.66-2.97, 2 Ag 2.66-2.93
4 Al 0.1567 0.0000 0.7474 x4  1 Ag 2.52, 4 Al 2.66-2.77
5 Ag 0.1064 0.5000 0.2926 x4  5 Al 2.52-2.66

Output
DOS(E_F) = 0.521 states/eV per atom

2 | The following is a DFT calculation (GGA-PBE) of a relaxed ThAl4Ag crystal.

Unit cell a=7.0563 b=19.3962 c=4.7108 alpha=90.00 beta=131.83 gamma=90.00
Closest atoms and distances in Å follow each position.
Space group C2/m (No. 12)
One atom of each set of equivalent atoms:
1 Th 0.2394 0.0000 0.4896 x4  8 Al 3.15-3.37, 2 Th 3.44-3.45
2 Al 0.1856 0.3914 0.9353 x8  6 Al 2.75-3.06, 1 Ag 2.76
3 Al 0.1869 0.1732 0.4369 x8  3 Ag 2.74-2.81, 5 Al 2.75-3.05
4 Ag 0.2500 0.2500 0.0000 x4  8 Al 2.74-2.81

Output
DOS(E_F) = 0.351 states/eV per atom

3 | The following is a DFT calculation (GGA-PBE) of a relaxed ThAl4Ag crystal.

Unit cell a=7.8595 b=7.8595 c=7.8595 alpha=90.00 beta=90.00 gamma=90.00
Closest atoms and distances in Å follow each position.
Space group F-43m (No. 216)
One atom of each set of equivalent atoms:
1 Th 0.0000 0.0000 0.0000 x4  12 Al 3.26, 4 Ag 3.40
2 Al 0.1258 0.1258 0.3742 x16  6 Al 2.76-2.80
3 Ag 0.2500 0.2500 0.7500 x4  12 Al 3.26, 4 Th 3.40

Output
DOS(E_F) = 0.652 states/eV per atom

What should be chosen as the most stable of them? Choose 1.

1 | The following is a DFT calculation (GGA-PBE) of a relaxed ThAlAg3 crystal.

Unit cell a=8.1634 b=6.5422 c=4.9849 alpha=90.00 beta=127.52 gamma=90.00
Closest atoms and distances in Å follow each position.
Space group Cm (No. 8)
One atom of each set of equivalent atoms:
1 Th 0.0000 0.0000 0.0000 x2  10 Ag 3.15-3.50, 4 Al 3.19-3.50
2 Al 0.3086 0.0000 0.8076 x2  3 Ag 2.49-2.72
3 Ag 0.0109 0.2944 0.5111 x4  2 Ag 2.69-2.82, 1 Al 2.72
4 Ag 0.1934 0.5000 0.1940 x2  1 Al 2.49

Output
DOS(E_F) = 0.605 states/eV per atom

2 | The following is a DFT calculation (GGA-PBE) of a relaxed ThAlAg3 crystal.

Unit cell a=5.9816 b=11.8680 c=6.0580 alpha=90.00 beta=90.00 gamma=90.00
Closest atoms and distances in Å follow each position.
Space group Cmcm (No. 63)
One atom of each set of equivalent atoms:
1 Th 0.0000 0.2497 0.2500 x4  4 Ag 3.19-3.23, 4 Al 3.32-3.35
2 Al 0.0000 0.1297 0.7500 x4  5 Ag 2.55-2.63
3 Ag 0.0000 0.3447 0.7500 x4  1 Al 2.55, 4 Ag 2.81
4 Ag 0.2487 0.5000 0.0000 x8  2 Al 2.63, 2 Ag 2.81

Output
DOS(E_F) = 0.777 states/eV per atom

What should be chosen as the most stable of them? Choose 1.

1 | The following is a DFT calculation (GGA-PBE) of a relaxed Th2AlAg3 crystal.

Unit cell a=3.4389 b=4.8167 c=8.3926 alpha=90.00 beta=90.00 gamma=90.00
Closest atoms and distances in Å follow each position.
Space group Pmm2 (No. 25)
One atom of each set of equivalent atoms:
1 Th 0.0000 0.0000 0.0000 x1  2 Al 3.26, 10 Ag 3.27-3.35, 2 Th 3.44
2 Th 0.0000 0.5000 0.4974 x1  8 Ag 3.23-3.30, 4 Al 3.28, 2 Th 3.44
3 Al 0.5000 0.0000 0.3294 x1  3 Ag 2.75
4 Ag 0.5000 0.0000 0.6570 x1  1 Al 2.75, 2 Ag 2.83
5 Ag 0.5000 0.5000 0.1717 x1  2 Al 2.75, 1 Ag 2.84
6 Ag 0.5000 0.5000 0.8332 x1  3 Ag 2.83-2.84

Output
DOS(E_F) = 0.838 states/eV per atom

2 | The following is a DFT calculation (GGA-PBE) of a relaxed Th2AlAg3 crystal.

Unit cell a=3.6203 b=4.6199 c=17.4600 alpha=90.00 beta=90.00 gamma=90.00
Closest atoms and distances in Å follow each position.
Space group Imm2 (No. 44)
One atom of each set of equivalent atoms:
1 Th 0.0000 0.0000 0.0000 x2  6 Ag 3.19-3.24, 4 Al 3.26
2 Th 0.0000 0.5000 0.2363 x2  8 Ag 3.23-3.27, 2 Al 3.25
3 Al 0.0000 0.0000 0.5818 x2  3 Ag 2.63-2.68
4 Ag 0.0000 0.0000 0.4282 x2  1 Al 2.68, 2 Ag 2.70
5 Ag 0.0000 0.5000 0.6540 x2  2 Al 2.63, 1 Ag 2.78
6 Ag 0.0000 0.5000 0.8133 x2  3 Ag 2.70-2.78

Output
DOS(E_F) = 0.601 states/eV per atom

What should be chosen as the most stable of them? Choose 1.

1 | The following is a DFT calculation (GGA-PBE) of a relaxed Th2Al3Ag crystal.

Unit cell a=4.1450 b=4.4788 c=15.5137 alpha=90.00 beta=90.00 gamma=90.00
Closest atoms and distances in Å follow each position.
Space group Imm2 (No. 44)
One atom of each set of equivalent atoms:
1 Th 0.0000 0.0000 0.0000 x2  8 Al 3.23-3.41, 4 Ag 3.40
2 Th 0.0000 0.5000 0.2701 x2  10 Al 3.24-3.39, 2 Ag 3.40
3 Al 0.0000 0.0000 0.4313 x2  2 Al 2.51, 1 Ag 2.56
4 Al 0.0000 0.5000 0.6748 x2  2 Ag 2.55, 1 Al 2.56
5 Al 0.0000 0.5000 0.8401 x2  3 Al 2.51-2.56
6 Ag 0.0000 0.0000 0.5963 x2  3 Al 2.55-2.56

Output
DOS(E_F) = 0.745 states/eV per atom

2 | The following is a DFT calculation (GGA-PBE) of a relaxed Th2Al3Ag crystal.

Unit cell a=7.6875 b=9.1947 c=15.8915 alpha=90.00 beta=90.00 gamma=90.00
Closest atoms and distances in Å follow each position.
Space group Fmmm (No. 69)
One atom of each set of equivalent atoms:
1 Th 0.2483 0.0000 0.0000 x8  2 Ag 3.26, 10 Al 3.27-3.28
2 Th 0.2500 0.2500 0.2500 x8  8 Al 3.27-3.28, 4 Ag 3.28
3 Al 0.0000 0.0000 0.3343 x8  2 Al 2.63, 1 Ag 2.67
4 Al 0.0000 0.2477 0.4168 x16  2 Al 2.63-2.64, 1 Ag 2.67
5 Ag 0.0000 0.0000 0.1665 x8  3 Al 2.67

Output
DOS(E_F) = 0.632 states/eV per atom

What should be chosen as the most stable of them? Choose 2.

1 | The following is a DFT calculation (GGA-PBE) of a relaxed Ti3AlAg crystal.

Unit cell a=4.7098 b=4.7098 c=4.7098 alpha=90.00 beta=90.00 gamma=90.00
Closest atoms and distances in Å follow each position.
Space group Pm-3m (No. 221)
One atom of each set of equivalent atoms:
1 Ti 0.0000 0.0000 0.5000 x3  2 Al 2.35
2 Al 0.0000 0.0000 0.0000 x1  6 Ti 2.35
3 Ag 0.5000 0.5000 0.5000 x1  12 Ti 3.33

Output
DOS(E_F) = 2.144 states/eV per atom

2 | The following is a DFT calculation (GGA-PBE) of a relaxed Ti3AlAg crystal.

Unit cell a=4.8201 b=4.8201 c=4.8201 alpha=90.00 beta=90.00 gamma=90.00
Closest atoms and distances in Å follow each position.
Space group Pm-3m (No. 221)
One atom of each set of equivalent atoms:
1 Ti 0.0000 0.0000 0.5000 x3  2 Ag 2.41
2 Al 0.5000 0.5000 0.5000 x1  12 Ti 3.41
3 Ag 0.0000 0.0000 0.0000 x1  6 Ti 2.41

Output
DOS(E_F) = 0.873 states/eV per atom

What should be chosen as the most stable of them? Choose 1.

1 | The following is a DFT calculation (GGA-PBE) of a relaxed AlTl2Ag crystal.

Unit cell a=3.1947 b=5.4525 c=11.0952 alpha=90.00 beta=90.00 gamma=90.00
Closest atoms and distances in Å follow each position.
Space group Imm2 (No. 44)
One atom of each set of equivalent atoms:
1 Al 0.0000 0.0000 0.0000 x2  2 Ag 2.68
2 Tl 0.0000 0.0000 0.4552 x2  4 Tl 3.19-3.57, 4 Al 3.20, 2 Ag 3.31
3 Tl 0.0000 0.5000 0.2473 x2  4 Tl 3.19-3.57, 4 Ag 3.21, 2 Al 3.23
4 Ag 0.0000 0.5000 0.6942 x2  2 Al 2.68

Output
DOS(E_F) = 0.381 states/eV per atom

2 | The following is a DFT calculation (GGA-PBE) of a relaxed AlTl2Ag crystal.

Unit cell a=7.3334 b=7.3334 c=7.3334 alpha=90.00 beta=90.00 gamma=90.00
Closest atoms and distances in Å follow each position.
Space group F-43m (No. 216)
One atom of each set of equivalent atoms:
1 Al 0.0000 0.0000 0.0000 x4  4 Tl 3.18, 4 Ag 3.18
2 Tl 0.0000 0.0000 0.5000 x4  4 Ag 3.18, 4 Tl 3.18
3 Tl 0.2500 0.2500 0.2500 x4  4 Tl 3.18, 4 Al 3.18
4 Ag 0.2500 0.2500 0.7500 x4  4 Tl 3.18, 4 Al 3.18

Output
DOS(E_F) = 0.735 states/eV per atom

3 | The following is a DFT calculation (GGA-PBE) of a relaxed AlTl2Ag crystal.

Unit cell a=3.3738 b=3.3738 c=29.1724 alpha=90.00 beta=90.00 gamma=120.00
Closest atoms and distances in Å follow each position.
Space group R3m (No. 160, hexagonal axes)
One atom of each set of equivalent atoms:
1 Al 0.0000 0.0000 0.0000 x3  3 Ag 2.69
2 Tl 0.0000 0.0000 0.5164 x3  3 Ag 3.19, 9 Tl 3.37-3.50
3 Tl 0.0000 0.0000 0.7499 x3  3 Al 3.11, 6 Tl 3.37
4 Ag 0.0000 0.0000 0.2696 x3  3 Al 2.69

Output
DOS(E_F) = 0.296 states/eV per atom

What should be chosen as the most stable of them? Choose 3.

1 | The following is a DFT calculation (GGA-PBE) of a relaxed AlTl2Ag crystal.

Unit cell a=3.3115 b=3.3115 c=29.7574 alpha=90.00 beta=90.00 gamma=120.00
Closest atoms and distances in Å follow each position.
Space group R-3m (No. 166, hexagonal axes)
One atom of each set of equivalent atoms:
1 Al 0.0000 0.0000 0.0000 x3  6 Tl 3.13, 6 Al 3.31
2 Tl 0.0000 0.0000 0.2500 x6  3 Ag 3.13, 3 Al 3.13, 6 Tl 3.31
3 Ag 0.0000 0.0000 0.5000 x3  6 Tl 3.13, 6 Ag 3.31

Output
DOS(E_F) = 0.220 states/eV per atom

2 | The following is a DFT calculation (GGA-PBE) of a relaxed AlTl2Ag crystal.

Unit cell a=3.6487 b=4.8103 c=5.5511 alpha=90.00 beta=90.00 gamma=90.00
Closest atoms and distances in Å follow each position.
Space group Pmmm (No. 47)
One atom of each set of equivalent atoms:
1 Al 0.0000 0.0000 0.0000 x1  4 Tl 3.02, 4 Ag 3.32
2 Tl 0.0000 0.5000 0.5000 x1  4 Ag 3.02, 4 Tl 3.32
3 Tl 0.5000 0.5000 0.0000 x1  4 Al 3.02, 4 Tl 3.32
4 Ag 0.5000 0.0000 0.5000 x1  4 Tl 3.02, 4 Al 3.32

Output
DOS(E_F) = 0.482 states/eV per atom

3 | The following is a DFT calculation (GGA-PBE) of a relaxed AlTl2Ag crystal.

Unit cell a=4.6578 b=4.6578 c=8.7997 alpha=90.00 beta=90.00 gamma=90.00
Closest atoms and distances in Å follow each position.
Space group I4/mmm (No. 139)
One atom of each set of equivalent atoms:
1 Al 0.0000 0.0000 0.0000 x2  8 Tl 3.20, 4 Ag 3.29
2 Tl 0.0000 0.5000 0.2500 x4  4 Al 3.20, 4 Ag 3.20, 4 Tl 3.29
3 Ag 0.0000 0.0000 0.5000 x2  8 Tl 3.20, 4 Al 3.29

Output
DOS(E_F) = 0.526 states/eV per atom

What should be chosen as the most stable of them? Choose 1.

1 | The following is a DFT calculation (GGA-PBE) of a relaxed AlTl2Ag crystal.

Unit cell a=3.2828 b=4.4571 c=6.5329 alpha=90.00 beta=93.72 gamma=90.00
Closest atoms and distances in Å follow each position.
Space group P2/m (No. 10)
One atom of each set of equivalent atoms:
1 Al 0.0000 0.0000 0.0000 x1  8 Tl 3.18-3.25, 2 Ag 3.27, 2 Al 3.28
2 Tl 0.4893 0.5000 0.7493 x2  4 Ag 3.14-3.28, 4 Al 3.18-3.25, 4 Tl 3.26-3.28
3 Ag 0.0000 0.0000 0.5000 x1  8 Tl 3.14-3.28, 2 Al 3.27, 2 Ag 3.28

Output
DOS(E_F) = 0.317 states/eV per atom

2 | The following is a DFT calculation (GGA-PBE) of a relaxed AlTl2Ag crystal.

Unit cell a=3.2662 b=3.2662 c=9.1706 alpha=90.00 beta=90.00 gamma=90.00
Closest atoms and distances in Å follow each position.
Space group P4mm (No. 99)
One atom of each set of equivalent atoms:
1 Al 0.0000 0.0000 0.0000 x1  4 Ag 2.72
2 Tl 0.0000 0.0000 0.5869 x1  4 Tl 3.27, 4 Ag 3.29
3 Tl 0.5000 0.5000 0.2559 x1  4 Tl 3.27, 4 Al 3.29
4 Ag 0.5000 0.5000 0.8426 x1  4 Al 2.72

Output
DOS(E_F) = 0.684 states/eV per atom

3 | The following is a DFT calculation (GGA-PBE) of a relaxed AlTl2Ag crystal.

Unit cell a=3.9961 b=4.4720 c=5.7860 alpha=90.00 beta=109.93 gamma=90.00
Closest atoms and distances in Å follow each position.
Space group Pm (No. 6)
One atom of each set of equivalent atoms:
1 Al 0.0000 0.0000 0.0000 x1  2 Ag 2.69, 1 Tl 2.98
2 Tl 0.2768 0.0000 0.5475 x1  3 Al 2.98-3.17, 4 Ag 3.14-3.15
3 Tl 0.5809 0.5000 0.1677 x1  3 Ag 3.03-3.13, 4 Al 3.13-3.14
4 Ag 0.8620 0.5000 0.7240 x1  2 Al 2.69

Output
DOS(E_F) = 0.443 states/eV per atom

4 | The following is a DFT calculation (GGA-PBE) of a relaxed AlTl2Ag crystal.

Unit cell a=4.5401 b=4.5401 c=9.2975 alpha=90.00 beta=90.00 gamma=90.00
Closest atoms and distances in Å follow each position.
Space group I-4m2 (No. 119)
One atom of each set of equivalent atoms:
1 Al 0.0000 0.0000 0.0000 x2  8 Tl 3.21-3.25, 4 Ag 3.25
2 Tl 0.0000 0.0000 0.5000 x2  4 Al 3.21, 4 Tl 3.25, 4 Ag 3.25
3 Tl 0.0000 0.5000 0.7500 x2  4 Ag 3.21, 4 Tl 3.25, 4 Al 3.25
4 Ag 0.0000 0.5000 0.2500 x2  8 Tl 3.21-3.25, 4 Al 3.25

Output
DOS(E_F) = 0.456 states/eV per atom

What should be chosen as the most stable of them? Choose 2.

1 | The following is a DFT calculation (GGA-PBE) of a relaxed AlTl2Ag crystal.

Unit cell a=3.8308 b=5.3922 c=9.3727 alpha=90.00 beta=90.00 gamma=90.00
Closest atoms and distances in Å follow each position.
Space group Immm (No. 71)
One atom of each set of equivalent atoms:
1 Al 0.0000 0.0000 0.0000 x2  4 Tl 3.02, 4 Ag 3.31
2 Tl 0.0000 0.5000 0.2510 x4  2 Al 3.02, 2 Ag 3.03, 4 Tl 3.31
3 Ag 0.0000 0.0000 0.5000 x2  4 Tl 3.03, 4 Al 3.31

Output
DOS(E_F) = 0.314 states/eV per atom

2 | The following is a DFT calculation (GGA-PBE) of a relaxed AlTl2Ag crystal.

Unit cell a=7.0257 b=8.5279 c=3.1805 alpha=90.00 beta=90.47 gamma=90.00
Closest atoms and distances in Å follow each position.
Space group C2/m (No. 12)
One atom of each set of equivalent atoms:
1 Al 0.0000 0.0000 0.0000 x2  8 Tl 3.18-3.19, 2 Al 3.18, 2 Ag 3.51
2 Tl 0.2500 0.2500 0.5000 x4  4 Al 3.18-3.19, 4 Ag 3.18-3.19, 4 Tl 3.18-3.51
3 Ag 0.0000 0.5000 0.0000 x2  8 Tl 3.18-3.19, 2 Ag 3.18, 2 Al 3.51

Output
DOS(E_F) = 0.268 states/eV per atom

What should be chosen as the most stable of them? Choose 2.